1.
The following is a DFT calculation (PBE-GGA) of a relaxed NaAlSn crystal.

Cell lengths 6.5614, 6.5614, 6.0073 Å; angles 90.00, 90.00, 142.63 degrees
Closest atoms and distances in Å follow each position.
Fractional positions:
1 Na 0.6942 0.3058 0.2500  4 Sn 3.23-3.31, 4 Al 3.54
2 Na 0.3058 0.6942 0.7500  4 Sn 3.23-3.31, 4 Al 3.54
3 Al 0.0000 0.0000 0.5000  4 Sn 2.87, 2 Al 3.00
4 Al 0.0000 0.0000 0.0000  4 Sn 2.87, 2 Al 3.00
5 Sn 0.4003 0.5997 0.2500  4 Al 2.87
6 Sn 0.5997 0.4003 0.7500  4 Al 2.87

Computed properties:
The calculation puts the density of states at the Fermi level at 0.452 states/eV per atom. The value obtained for the formation enthalpy at 0 K is 0.0210 eV/atom.

2.
The following is a DFT calculation (PBE-GGA) of a relaxed Pu2Si2Pt3 crystal.

Cell lengths 3.4072, 5.9896, 7.2722 Å; angles 122.09, 90.00, 106.52 degrees
Closest atoms and distances in Å follow each position.
Fractional positions:
1 Pu 0.1837 0.3674 0.8730  2 Pu 2.35
2 Pu 0.8163 0.6326 0.1270  2 Pu 2.35
3 Si 0.1575 0.3151 0.2708  5 Pt 2.42-2.47
4 Si 0.8425 0.6849 0.7292  5 Pt 2.42-2.47
5 Pt 0.5946 0.1893 0.4435  3 Si 2.42-2.45
6 Pt 0.4054 0.8107 0.5565  3 Si 2.42-2.45
7 Pt 0.5000 0.0000 0.0000  4 Si 2.47

Computed properties:
The uncorrected formation energy is -58.71 kJ per mole of atoms. The calculation puts the density of states at the Fermi level at 1.123 states/eV per atom.

3.
The following is a DFT calculation (PBE-GGA) of a relaxed B4C crystal.

Cell lengths 4.4832, 4.4832, 7.2213 Å; angles 119.76, 119.76, 35.84 degrees
Closest atoms and distances in Å follow each position.
Fractional positions:
1 B 0.6351 0.6351 0.7828  3 B 1.69-1.71
2 B 0.5873 0.5873 0.3225  3 C 1.56-1.58
3 B 0.2612 0.2612 0.8139  3 B 1.69-1.70
4 B 0.9275 0.9275 0.9852  1 C 1.59
5 B 0.3765 0.3765 0.5704  2 C 1.57
6 B 0.8011 0.8011 0.2297  2 C 1.55-1.60
7 B 0.4806 0.4806 0.8666  7 B 1.70-1.84
8 B 0.1451 0.1451 0.9938  6 B 1.82-2.02
9 C 0.8020 0.8020 0.4523  4 B 1.56-1.60
10 C 0.9836 0.9836 0.2328  4 B 1.55-1.59

Computed properties:
The value obtained for the distance to the lowest polymorph of the same formula is 2.03 eV per formula unit. The calculation puts the density of states at the Fermi level at 0.040 states/eV per atom. The value obtained for the formation enthalpy at 0 K is 0.3037 eV/atom.

4.
The following is a DFT calculation (PBE-GGA) of a relaxed CsRb2Zr3S8 crystal.

Cell lengths 7.7176, 7.7176, 9.3714 Å; angles 65.68, 65.68, 60.00 degrees
Closest atoms and distances in Å follow each position.
Fractional positions:
1 S 0.7620 0.3051 0.1708  2 Zr 2.56
2 S 0.7620 0.7620 0.1708  2 Zr 2.56
3 S 0.3051 0.7620 0.1708  2 Zr 2.56
4 S 0.2380 0.6957 0.8282  2 Zr 2.57
5 S 0.7235 0.7235 0.8294  3 Zr 2.64
6 S 0.6957 0.2380 0.8282  2 Zr 2.57
7 S 0.2380 0.2380 0.8282  2 Zr 2.57
8 S 0.2737 0.2737 0.1790  3 Zr 2.67
9 Cs 0.8560 0.8560 0.4321  4 S 3.24-3.28
10 Zr 0.4995 0.4995 0.0013  6 S 2.56-2.67
11 Zr 0.9998 0.4995 0.0013  6 S 2.56-2.67
12 Zr 0.4995 0.9998 0.0013  6 S 2.56-2.67
13 Rb 0.5000 0.5000 0.5000  6 S 3.39
14 Rb 0.1399 0.1399 0.5804  4 S 3.16-3.31

Computed properties:
The uncorrected formation energy is -126.99 kJ per mole of atoms. The calculation puts the density of states at the Fermi level at 0.568 states/eV per atom.

5.
The following is a DFT calculation (PBE-GGA) of a relaxed BaCuHgCl6 crystal.

Cell lengths 6.0997, 7.6194, 6.7606 Å; angles 99.07, 99.06, 60.56 degrees
Closest atoms and distances in Å follow each position.
Fractional positions:
1 Cu 0.3462 0.3248 0.4909  4 Cl 2.25-2.37
2 Cl 0.6468 0.0279 0.3429  1 Cu 2.30
3 Cl 0.3316 0.6498 0.2309  1 Hg 2.43
4 Cl 0.0469 0.5970 0.6904  1 Cu 2.37, 1 Hg 2.54
5 Cl 0.4105 0.9827 0.7980  1 Hg 2.63
6 Cl 0.6435 0.3675 0.7068  1 Cu 2.26
7 Cl 0.0300 0.3336 0.2628  1 Cu 2.25
8 Hg 0.6129 0.7049 0.4997  3 Cl 2.43-2.63
9 Ba 0.9313 0.0118 0.9775  7 Cl 3.11-3.32

Computed properties:
The uncorrected formation energy is -111.94 kJ per mole of atoms.

6.
The following is a DFT calculation (PBE-GGA) of a relaxed AcTb3Zn4 crystal.

Cell lengths 5.1734, 7.3685, 10.3448 Å; angles 90.00, 90.00, 90.00 degrees
Closest atoms and distances in Å follow each position.
Fractional positions:
1 Tb 0.4990 0.0000 0.2500  8 Zn 3.09
2 Tb 0.0000 0.0000 0.5000  8 Zn 3.09
3 Tb 0.5010 0.0000 0.7500  8 Zn 3.09
4 Tb 0.4993 0.5000 0.2500  8 Zn 3.27, 2 Ac 3.66
5 Tb 0.5007 0.5000 0.7500  8 Zn 3.27, 2 Ac 3.66
6 Tb 0.0000 0.0000 0.0000  8 Zn 3.09
7 Zn 0.0013 0.2287 0.7500  6 Tb 3.09-3.27, 2 Ac 3.27, 1 Zn 3.37
8 Zn 0.9987 0.2287 0.2500  6 Tb 3.09-3.27, 2 Ac 3.27, 1 Zn 3.37
9 Zn 0.5000 0.7714 0.0000  6 Tb 3.09-3.27, 2 Ac 3.27, 1 Zn 3.37
10 Zn 0.9987 0.7713 0.2500  6 Tb 3.09-3.27, 2 Ac 3.27, 1 Zn 3.37
11 Zn 0.0013 0.7713 0.7500  6 Tb 3.09-3.27, 2 Ac 3.27, 1 Zn 3.37
12 Zn 0.5000 0.2286 0.0000  6 Tb 3.09-3.27, 2 Ac 3.27, 1 Zn 3.37
13 Zn 0.5000 0.2286 0.5000  6 Tb 3.09-3.27, 2 Ac 3.27, 1 Zn 3.37
14 Zn 0.5000 0.7714 0.5000  6 Tb 3.09-3.27, 2 Ac 3.27, 1 Zn 3.37
15 Ac 0.0000 0.5000 0.0000  8 Zn 3.27, 4 Tb 3.66
16 Ac 0.0000 0.5000 0.5000  8 Zn 3.27, 4 Tb 3.66

Computed properties:
The calculation puts the density of states at the Fermi level at 1.027 states/eV per atom. The value obtained for the formation enthalpy at 0 K is -0.2852 eV/atom.

7.
The following is a DFT calculation (PBE-GGA) of a relaxed AcTmIrAu crystal.

Cell lengths 5.1619, 5.1619, 5.1619 Å; angles 60.00, 60.00, 60.00 degrees
Closest atoms and distances in Å follow each position.
Fractional positions:
1 Au 0.0000 0.0000 0.0000  4 Tm 3.16, 4 Ac 3.16
2 Tm 0.7500 0.7500 0.7500  4 Au 3.16, 4 Ir 3.16
3 Ac 0.2500 0.2500 0.2500  4 Au 3.16, 4 Ir 3.16
4 Ir 0.5000 0.5000 0.5000  4 Ac 3.16, 4 Tm 3.16

Computed properties:
The calculation puts the density of states at the Fermi level at 0.880 states/eV per atom. The value obtained for the formation enthalpy at 0 K is -0.6415 eV/atom.

8.
The following is a DFT calculation (PBE-GGA) of a relaxed InSi2Se4 crystal.

Cell lengths 6.5268, 6.5268, 6.5268 Å; angles 102.13, 102.13, 125.44 degrees
Closest atoms and distances in Å follow each position.
Fractional positions:
1 Si 0.2500 0.7500 0.5000  4 Se 2.36
2 Si 0.7500 0.2500 0.5000  4 Se 2.36
3 Se 0.3192 0.1307 0.4499  2 Si 2.36
4 Se 0.6808 0.8693 0.5501  2 Si 2.36
5 Se 0.8693 0.3192 0.1885  2 Si 2.36
6 Se 0.1307 0.6808 0.8115  2 Si 2.36
7 In 0.5000 0.5000 0.0000  4 Se 3.37

Computed properties:
The uncorrected formation energy is -25.99 kJ per mole of atoms. The calculation puts the density of states at the Fermi level at 0.506 states/eV per atom.

9.
The following is a DFT calculation (PBE-GGA) of a relaxed Ti2NbSbMo crystal.

Cell lengths 4.8492, 4.8939, 4.8492 Å; angles 90.00, 90.00, 90.00 degrees
Closest atoms and distances in Å follow each position.
Fractional positions:
1 Sb 0.0000 0.0000 0.0000  4 Ti 2.42, 2 Mo 2.45
2 Nb 0.5000 0.5000 0.5000  4 Mo 3.43, 8 Ti 3.44
3 Ti 0.5000 0.0000 0.0000  2 Sb 2.42
4 Ti 0.0000 0.0000 0.5000  2 Sb 2.42
5 Mo 0.0000 0.5000 0.0000  2 Sb 2.45

Computed properties:
The uncorrected formation energy is 131.16 kJ per mole of atoms. The calculation puts the density of states at the Fermi level at 1.405 states/eV per atom.

10.
The following is a DFT calculation (PBE-GGA) of a relaxed Al2Se2I crystal.

Cell lengths 8.1894, 8.1894, 7.5778 Å; angles 122.71, 122.71, 90.00 degrees
Closest atoms and distances in Å follow each position.
Fractional positions:
1 Se 0.6565 0.3911 0.3130  3 Al 2.47-2.48
2 Se 0.6411 0.4065 0.8130  3 Al 2.47-2.48
3 Se 0.1720 0.4065 0.8130  3 Al 2.47-2.48
4 Se 0.6565 0.9220 0.3130  3 Al 2.47-2.48
5 Al 0.8532 0.1609 0.3218  3 Se 2.47-2.48, 1 I 2.76
6 Al 0.4109 0.6032 0.8218  3 Se 2.47-2.48, 1 I 2.76
7 Al 0.4109 0.2186 0.8218  3 Se 2.47-2.48, 1 I 2.76
8 Al 0.4686 0.1609 0.3218  3 Se 2.47-2.48, 1 I 2.76
9 I 0.2958 0.7958 0.5916  2 Al 2.76
10 I 0.0458 0.0458 0.0916  2 Al 2.76

Computed properties:
The uncorrected formation energy is -52.13 kJ per mole of atoms. The value obtained for the distance to the lowest polymorph of the same formula is 0.00 eV per formula unit. The calculation puts the density of states at the Fermi level at 0.355 states/eV per atom.

11.
The following is a DFT calculation (PBE-GGA) of a relaxed La2ZnPt2 crystal.

Cell lengths 5.7270, 5.7270, 5.6432 Å; angles 59.51, 59.51, 90.00 degrees
Closest atoms and distances in Å follow each position.
Fractional positions:
1 La 0.7500 0.2500 0.5000  4 Pt 2.93
2 La 0.2500 0.7500 0.5000  4 Pt 2.93
3 Zn 0.0000 0.0000 0.0000  2 Pt 2.60
4 Pt 0.6687 0.6687 0.6626  1 Zn 2.60, 1 Pt 2.65
5 Pt 0.3313 0.3313 0.3374  1 Zn 2.60, 1 Pt 2.65

Computed properties:
The calculation puts the density of states at the Fermi level at 0.538 states/eV per atom. The value obtained for the formation enthalpy at 0 K is -0.8612 eV/atom.

12.
The following is a DFT calculation (PBE-GGA) of a relaxed Tm3CoRh crystal.

Cell lengths 3.8713, 7.4394, 8.0095 Å; angles 109.59, 90.00, 90.00 degrees
Closest atoms and distances in Å follow each position.
Fractional positions:
1 Tm 0.2500 0.3584 0.5957  3 Co 2.90-2.96, 3 Rh 2.93-3.20
2 Tm 0.7500 0.3100 0.9263  1 Co 2.81, 3 Rh 2.83-2.93
3 Tm 0.7500 0.0876 0.2343  3 Co 2.85, 2 Rh 2.89
4 Tm 0.2500 0.9124 0.7657  3 Co 2.85, 2 Rh 2.89
5 Tm 0.2500 0.6900 0.0737  1 Co 2.81, 3 Rh 2.83-2.93
6 Tm 0.7500 0.6416 0.4043  3 Co 2.90-2.96, 3 Rh 2.93-3.20
7 Co 0.7500 0.0523 0.5780  2 Co 2.29
8 Co 0.2500 0.9477 0.4220  2 Co 2.29
9 Rh 0.2500 0.3598 0.1960  7 Tm 2.83-2.93
10 Rh 0.7500 0.6402 0.8040  7 Tm 2.83-2.93

Computed properties:
The value obtained for the distance to the lowest polymorph of the same formula is 0.00 eV per formula unit. The calculation puts the density of states at the Fermi level at 0.829 states/eV per atom. The value obtained for the formation enthalpy at 0 K is -0.5281 eV/atom.